Material: LiLaSc2
Method: DFT, PBE-GGA
State: optimized geometry

Cell lengths 6.258, 6.258, 6.258 Å; angles 146.53, 129.46, 61.98 degrees
Fractional positions:
Li 0.000 0.000 0.000
La 0.758 0.258 0.500
Sc 0.216 0.716 0.500
Sc 0.475 0.475 0.000

Summary:
DOS(E_F), states/eV/f.u.: 4.86
Magnetization, μB per cell: 0.0
Relative energy among the computed polymorphs, kJ/mol of atoms: 3.0
Volume, A^3/atom: 25.82
Formation enthalpy at 0 K, meV/atom: 145
Space-group type: Imm2